Compound: Ta2Pd13
Source: the Alexandria database
Functional: PBE
Structure: optimized geometry

## Properties
space group	R-3m, No. 166
formation energy from the elements	0.207	eV per atom

Cell: 7.8094 7.8094 7.8094 Å, 55.20 55.20 55.20°
With the nearest neighbours (Å) after each atom.
Fractional positions:
Ta  0.2474  0.2474  0.2474  6 Pd 2.55-2.67
Ta  0.7526  0.7526  0.7526  6 Pd 2.55-2.67
Pd  0.0000  0.0000  0.0000  12 Pd 2.67-2.69
Pd  0.0267  0.0267  0.6291  1 Ta 2.55, 5 Pd 2.56-2.82
Pd  0.0267  0.6291  0.0267  1 Ta 2.55, 5 Pd 2.56-2.82
Pd  0.2353  0.2353  0.6030  8 Pd 2.66-2.82, 1 Ta 2.67
Pd  0.2353  0.6030  0.2353  8 Pd 2.66-2.82, 1 Ta 2.67
Pd  0.3709  0.9733  0.9733  1 Ta 2.55, 5 Pd 2.56-2.82
Pd  0.3970  0.7647  0.7647  8 Pd 2.66-2.82, 1 Ta 2.67
Pd  0.6030  0.2353  0.2353  8 Pd 2.66-2.82, 1 Ta 2.67
Pd  0.6291  0.0267  0.0267  1 Ta 2.55, 5 Pd 2.56-2.82
Pd  0.7647  0.3970  0.7647  8 Pd 2.66-2.82, 1 Ta 2.67
Pd  0.7647  0.7647  0.3970  8 Pd 2.66-2.82, 1 Ta 2.67
Pd  0.9733  0.3709  0.9733  1 Ta 2.55, 5 Pd 2.56-2.82
Pd  0.9733  0.9733  0.3709  1 Ta 2.55, 5 Pd 2.56-2.82

Compound: LiAg3As
Source: the Alexandria database
Functional: PBE
Structure: optimized geometry

## Properties
space group	Pm-3m, No. 221
formation energy from the elements	0.196	eV per atom

Cell: 4.9688 4.9688 4.9688 Å, 90.00 90.00 90.00°
With the nearest neighbours (Å) after each atom.
Fractional positions:
Li  0.0000  0.0000  0.0000  12 Ag 3.51
Ag  0.0000  0.5000  0.5000  2 As 2.48
Ag  0.5000  0.0000  0.5000  2 As 2.48
Ag  0.5000  0.5000  0.0000  2 As 2.48
As  0.5000  0.5000  0.5000  6 Ag 2.48

Compound: Pm2PrThN4
Source: the Alexandria database
Functional: PBE
Structure: optimized geometry

## Properties
space group	P2/m, No. 10
ΔE_f (raw)	-1480	meV per atom

Cell: 6.3014 3.6519 6.3121 Å, 90.00 109.38 90.00°
With the nearest neighbours (Å) after each atom.
Fractional positions:
Pm  0.0000  0.0000  0.0000  6 N 2.55-2.56
Pm  0.0000  0.5000  0.5000  6 N 2.62-2.63
Pr  0.5000  0.0000  0.5000  6 N 2.59-2.60
Th  0.5000  0.5000  0.0000  6 N 2.52-2.54
N  0.2516  0.5000  0.2410  1 Th 2.52, 3 Pm 2.56-2.63, 2 Pr 2.60
N  0.2557  0.0000  0.7596  2 Th 2.54, 3 Pm 2.55-2.62, 1 Pr 2.59
N  0.7443  0.0000  0.2404  2 Th 2.54, 3 Pm 2.55-2.62, 1 Pr 2.59
N  0.7484  0.5000  0.7590  1 Th 2.52, 3 Pm 2.56-2.63, 2 Pr 2.60

Compound: NaSr4Re3O12
Source: the Alexandria database
Functional: PBE
Structure: optimized geometry

## Properties
space group	Im-3m, No. 229
ΔE_f (raw)	-2117	meV per atom

Cell: 6.9817 6.9817 6.9817 Å, 109.47 109.47 109.47°
With the nearest neighbours (Å) after each atom.
Fractional positions:
Na  0.0000  0.0000  0.0000  6 O 2.15
Sr  0.0000  0.0000  0.5000  12 O 2.85
Sr  0.0000  0.5000  0.0000  12 O 2.85
Sr  0.5000  0.0000  0.0000  12 O 2.85
Sr  0.5000  0.5000  0.5000  12 O 2.85
Re  0.0000  0.5000  0.5000  6 O 1.88-2.02
Re  0.5000  0.0000  0.5000  6 O 1.88-2.02
Re  0.5000  0.5000  0.0000  6 O 1.88-2.02
O  0.0000  0.2663  0.2663  1 Re 1.88
O  0.0000  0.7337  0.7337  1 Re 1.88
O  0.2500  0.5000  0.7500  2 Re 2.02
O  0.2500  0.7500  0.5000  2 Re 2.02
O  0.2663  0.0000  0.2663  1 Re 1.88
O  0.2663  0.2663  0.0000  1 Re 1.88
O  0.5000  0.2500  0.7500  2 Re 2.02
O  0.5000  0.7500  0.2500  2 Re 2.02
O  0.7337  0.0000  0.7337  1 Re 1.88
O  0.7337  0.7337  0.0000  1 Re 1.88
O  0.7500  0.2500  0.5000  2 Re 2.02
O  0.7500  0.5000  0.2500  2 Re 2.02

Calculated density in order - 9.69, 5.49, 8.71, 7.13 g/cm3
Calculated total magnetization in order - 0.0, 0.0, 0.0, 0.0 μB/f.u.